(1)
A plane-wave DFT calculation with SCAN was carried out for a PBEsol-optimized structure of SiMo2Rh.

a = 3.6525 Å, b = 3.6644 Å, c = 8.3367 Å
α = 90.00°, β = 90.00°, γ = 90.00°
Space group Immm (No. 71)
Symmetry-distinct sites (fractional):
Si 0.0000 0.0000 0.0000
Mo 0.0000 0.5000 0.2501
Rh 0.0000 0.0000 0.5000

Its raw formation energy is -1.3 eV per formula unit.

---

(2)
A plane-wave DFT calculation with SCAN was carried out for a PBEsol-optimized structure of MnCo2Os.

a = 3.5669 Å, b = 3.5669 Å, c = 6.9803 Å
α = 90.00°, β = 90.00°, γ = 90.00°
Space group I-4m2 (No. 119)
Symmetry-distinct sites (fractional):
Mn 0.0000 0.0000 0.0000
Co 0.0000 0.0000 0.5000
Co 0.0000 0.5000 0.7500
Os 0.0000 0.5000 0.2500

Its distance to the lowest polymorph of the same formula is 6 meV per atom.

---

(3)
A plane-wave DFT calculation with SCAN was carried out for a PBEsol-optimized structure of Y2ZrHg.

a = 3.4260 Å, b = 3.4260 Å, c = 8.5744 Å
α = 90.00°, β = 90.00°, γ = 90.00°
Space group P4/mmm (No. 123)
Symmetry-distinct sites (fractional):
Y 0.0000 0.0000 0.2391
Zr 0.5000 0.5000 0.5000
Hg 0.5000 0.5000 0.0000

The calculation puts the final energy at -155.8 eV/cell.

---

(4)
A plane-wave DFT calculation with SCAN was carried out for a PBEsol-optimized structure of Mg5Cd3.

a = 11.0983 Å, b = 11.0983 Å, c = 5.6315 Å
α = 90.00°, β = 90.00°, γ = 90.00°
Space group I4/mcm (No. 140)
Symmetry-distinct sites (fractional):
Mg 0.0000 0.5000 0.2500
Mg 0.0762 0.2252 0.0000
Cd 0.0000 0.0000 0.2500
Cd 0.1667 0.3333 0.5000

Its distance to the lowest polymorph of the same formula is 14 meV per atom.

---

(5)
A plane-wave DFT calculation with SCAN was carried out for a PBEsol-optimized structure of Re3SiBr.

a = 4.4527 Å, b = 4.4527 Å, c = 4.4527 Å
α = 90.00°, β = 90.00°, γ = 90.00°
Space group Pm-3m (No. 221)
Symmetry-distinct sites (fractional):
Re 0.0000 0.0000 0.5000
Si 0.0000 0.0000 0.0000
Br 0.5000 0.5000 0.5000

Its raw formation energy is 10.3 eV per formula unit.

---

(6)
A plane-wave DFT calculation with SCAN was carried out for a PBEsol-optimized structure of BaCdBr.

a = 5.4235 Å, b = 5.4235 Å, c = 4.4896 Å
α = 90.00°, β = 90.00°, γ = 120.00°
Space group P3m1 (No. 156)
Symmetry-distinct sites (fractional):
Ba 0.0000 0.0000 0.0000
Cd 0.6667 0.3333 0.4960
Br 0.3333 0.6667 0.9828

Its raw formation energy is -2.9 eV per formula unit. Its distance to the lowest polymorph of the same formula is 0 meV per atom.

---

(7)
A plane-wave DFT calculation with SCAN was carried out for a PBEsol-optimized structure of AlAg7.

a = 4.0943 Å, b = 4.0943 Å, c = 7.8061 Å
α = 90.00°, β = 90.00°, γ = 90.00°
Space group P4/mmm (No. 123)
Symmetry-distinct sites (fractional):
Al 0.0000 0.0000 0.0000
Ag 0.0000 0.0000 0.5000
Ag 0.0000 0.5000 0.2449
Ag 0.5000 0.5000 0.0000
Ag 0.5000 0.5000 0.5000

Its distance to the lowest polymorph of the same formula is 8 meV per atom.

---

(8)
A plane-wave DFT calculation with SCAN was carried out for a PBEsol-optimized structure of YCu2.

a = 5.1804 Å, b = 5.1804 Å, c = 16.7328 Å
α = 90.00°, β = 90.00°, γ = 120.00°
Space group P6_3/mmc (No. 194)
Symmetry-distinct sites (fractional):
Y 0.0000 0.0000 0.0981
Y 0.3333 0.6667 0.1556
Cu 0.0000 0.5000 0.0000
Cu 0.1695 0.3390 0.7500
Cu 0.3333 0.6667 0.6225

The calculation puts the final energy at -471.1 eV/cell.

---

(9)
A plane-wave DFT calculation with SCAN was carried out for a PBEsol-optimized structure of AsPAu.

a = 5.4945 Å, b = 8.2983 Å, c = 4.8026 Å
α = 90.00°, β = 90.00°, γ = 90.00°
Space group Cmcm (No. 63)
Symmetry-distinct sites (fractional):
As 0.0000 0.0934 0.2500
P 0.0000 0.5000 0.0000
Au 0.0000 0.2222 0.7500

The calculation puts the final energy at -393.1 eV/cell.

---

(10)
A plane-wave DFT calculation with SCAN was carried out for a PBEsol-optimized structure of CdBi3Pd.

a = 5.4733 Å, b = 5.4733 Å, c = 5.4733 Å
α = 90.00°, β = 90.00°, γ = 90.00°
Space group Pm-3m (No. 221)
Symmetry-distinct sites (fractional):
Cd 0.0000 0.0000 0.0000
Bi 0.0000 0.0000 0.5000
Pd 0.5000 0.5000 0.5000

The calculation puts the final energy at -294.0 eV/cell.

---

(11)
A plane-wave DFT calculation with SCAN was carried out for a PBEsol-optimized structure of Pr2B5.

a = 15.1474 Å, b = 7.2742 Å, c = 7.3079 Å
α = 90.00°, β = 109.12°, γ = 90.00°
Space group C2/c (No. 15)
Symmetry-distinct sites (fractional):
Pr 0.1184 0.0614 0.2227
Pr 0.1189 0.4301 0.5988
B 0.0425 0.2457 0.8521
B 0.1601 0.2496 0.9397
B 0.2489 0.2897 0.1707
B 0.2494 0.3415 0.4081
B 0.2501 0.0783 0.0399

The calculation puts the final energy at -1021.2 eV/cell.

---

(12)
A plane-wave DFT calculation with SCAN was carried out for a PBEsol-optimized structure of TlFeCo2Sb.

a = 4.5063 Å, b = 4.5063 Å, c = 4.6320 Å
α = 90.00°, β = 90.00°, γ = 90.00°
Space group P4/mmm (No. 123)
Symmetry-distinct sites (fractional):
Tl 0.0000 0.0000 0.0000
Fe 0.5000 0.5000 0.5000
Co 0.0000 0.5000 0.5000
Sb 0.5000 0.5000 0.0000

Its raw formation energy is 4.1 eV per formula unit.